VASP calculation (PBE with a Hubbard U) on a relaxed NiHgN2F crystal.

For the density of states at the Fermi level, the calculation gives 2.369 states/eV/cell. The value obtained for the energy above the most stable polymorph in this dataset is 0 meV/atom. The value obtained for the density is 8.0 g/cm3. Its space group is P4/mmm, No. 123. For the total moment, the calculation gives 2.5 μB per formula unit.

abc: 3.6354 3.6354 4.8144
angles: 90.00 90.00 90.00
Last column: nearest neighbours and their distance in Å.
Sites, in units of the cell vectors:
Ni (0.0000, 0.0000, 0.0000)  4 N 1.82
Hg (0.5000, 0.5000, 0.5000)  4 F 2.57
N (0.0000, 0.5000, 0.0000)  2 Ni 1.82
N (0.5000, 0.0000, 0.0000)  2 Ni 1.82
F (0.0000, 0.0000, 0.5000)  2 Ni 2.41, 4 Hg 2.57